# 1
VASP calculation (PBE-GGA) on crystalline Li2Ti2MnSe6 at its relaxed geometry.

extended XYZ file:
```
11
Lattice="3.165 -5.569 0.000 3.165 5.569 0.000 -2.076 0.000 6.435" Properties=species:S:1:pos:R:3 pbc="T T T"
Li 3.165 3.735 0.000
Li 3.165 -3.735 0.000
Ti 2.127 1.857 3.218
Ti 2.127 -1.857 3.218
Mn -1.038 0.000 3.218
Se 0.031 1.889 4.712
Se 1.077 0.000 1.733
Se 0.031 -1.889 4.712
Se 4.223 1.889 1.723
Se 3.177 0.000 4.703
Se 4.223 -1.889 1.723
```

- DOS at the Fermi energy (states/eV/atom) = 0.265
- energy relative to the elements, uncorrected (eV/atom) = -1.02
- energy (eV/cell) = -60.87



# 2
VASP calculation (PBE-GGA) on crystalline Li3TiMn2Se6 at its relaxed geometry.

extended XYZ file:
```
12
Lattice="3.241 -5.635 0.000 3.241 5.635 0.000 -2.153 0.000 6.334" Properties=species:S:1:pos:R:3 pbc="T T T"
Li 0.000 0.000 0.000
Li 3.241 1.911 0.000
Li 3.241 -1.911 0.000
Ti 2.165 0.000 3.167
Mn 2.165 3.762 3.167
Mn 2.165 -3.762 3.167
Se 1.092 1.853 1.695
Se 0.039 0.000 4.645
Se 1.092 -1.853 1.695
Se 3.238 1.853 4.639
Se 4.291 0.000 1.689
Se 3.238 -1.853 4.639
```

- DOS at the Fermi energy (states/eV/atom) = 0.387
- energy relative to the elements, uncorrected (eV/atom) = -0.90
- energy (eV/cell) = -63.70



# 3
VASP calculation (PBE-GGA) on crystalline LiMnTlSe3 at its relaxed geometry.

extended XYZ file:
```
12
Lattice="7.817 0.000 0.000 0.000 3.812 0.000 -3.553 0.000 9.198" Properties=species:S:1:pos:R:3 pbc="T T T"
Li 0.207 0.953 0.972
Li 4.057 2.859 8.226
Mn 1.246 2.859 3.216
Mn 3.019 0.953 5.982
Tl -0.804 0.953 7.484
Tl 5.068 2.859 1.714
Se -0.418 0.953 3.361
Se 1.776 2.859 0.737
Se 1.362 2.859 5.709
Se 2.903 0.953 3.489
Se 2.488 0.953 8.461
Se 4.683 2.859 5.837
```

- DOS at the Fermi energy (states/eV/atom) = 0.199
- energy relative to the elements, uncorrected (eV/atom) = -0.58
- energy (eV/cell) = -54.80



# 4
VASP calculation (PBE-GGA) on crystalline LiTm2MnSe4 at its relaxed geometry.

extended XYZ file:
```
8
Lattice="6.753 0.000 0.000 0.000 3.981 0.000 -2.345 0.000 6.485" Properties=species:S:1:pos:R:3 pbc="T T T"
Li 0.000 0.000 0.000
Tm 2.204 0.000 3.243
Tm 3.377 1.991 0.000
Mn -1.172 1.991 3.243
Se -0.147 0.000 4.830
Se 1.041 1.991 1.607
Se 3.367 1.991 4.878
Se 4.556 0.000 1.655
```

- DOS at the Fermi energy (states/eV/atom) = 0.242
- energy relative to the elements, uncorrected (eV/atom) = -1.37
- energy (eV/cell) = -44.95



# 5
VASP calculation (PBE-GGA) on crystalline Li3U2MnSe6 at its relaxed geometry.

extended XYZ file:
```
12
Lattice="3.447 -5.976 0.000 3.447 5.976 0.000 -2.292 0.000 6.518" Properties=species:S:1:pos:R:3 pbc="T T T"
Li 0.000 0.000 0.000
Li 3.447 1.980 0.000
Li 3.447 -1.980 0.000
U 2.301 3.979 3.259
U 2.301 -3.979 3.259
Mn 2.301 0.000 3.259
Se 1.194 1.916 1.612
Se 0.096 0.000 4.884
Se 1.194 -1.916 1.612
Se 3.407 1.916 4.906
Se 4.506 0.000 1.634
Se 3.407 -1.916 4.906
```

- DOS at the Fermi energy (states/eV/atom) = 0.558
- energy relative to the elements, uncorrected (eV/atom) = -1.08
- energy (eV/cell) = -71.32



# 6
VASP calculation (PBE-GGA) on crystalline Li3U3MnSe8 at its relaxed geometry.

extended XYZ file:
```
15
Lattice="3.992 2.305 6.546 -3.992 2.305 6.546 0.000 -4.609 6.546" Properties=species:S:1:pos:R:3 pbc="T T T"
Li -1.996 -1.152 6.546
Li -1.996 1.152 13.091
Li 0.000 2.305 6.545
U -3.992 0.000 9.818
U -1.996 1.152 3.273
U 1.996 1.152 3.273
Mn 0.000 0.000 9.818
Se 0.000 0.000 4.995
Se 0.000 -2.212 8.224
Se -1.916 1.106 8.224
Se -1.916 -1.106 11.413
Se 1.916 1.106 8.224
Se 1.916 -1.106 11.413
Se 0.000 2.212 11.413
Se 0.000 0.000 14.642
```

- DOS at the Fermi energy (states/eV/atom) = 0.716
- energy relative to the elements, uncorrected (eV/atom) = -1.08
- energy (eV/cell) = -92.89



# 7
VASP calculation (PBE-GGA) on crystalline Li3UMn2Se6 at its relaxed geometry.

extended XYZ file:
```
12
Lattice="3.348 -5.794 0.000 3.348 5.794 0.000 -2.224 0.000 6.463" Properties=species:S:1:pos:R:3 pbc="T T T"
Li 0.000 0.000 0.000
Li 3.348 1.890 0.000
Li 3.348 -1.890 0.000
U 2.235 0.000 3.232
Mn 2.235 3.855 3.232
Mn 2.235 -3.855 3.232
Se 1.105 1.963 1.649
Se -0.035 0.000 4.801
Se 1.105 -1.963 1.649
Se 3.366 1.963 4.814
Se 4.506 0.000 1.662
Se 3.366 -1.963 4.814
```

- DOS at the Fermi energy (states/eV/atom) = 0.056
- energy relative to the elements, uncorrected (eV/atom) = -0.95
- energy (eV/cell) = -67.66



# 8
VASP calculation (PBE-GGA) on crystalline Li2UMnSe4 at its relaxed geometry.

extended XYZ file:
```
8
Lattice="6.769 0.000 0.000 0.000 3.970 0.000 -2.233 0.000 6.477" Properties=species:S:1:pos:R:3 pbc="T T T"
Li 0.000 0.000 0.000
Li 3.385 1.985 0.000
U -1.117 1.985 3.239
Mn 2.268 0.000 3.239
Se 0.068 0.000 4.896
Se 1.208 1.985 1.686
Se 3.328 1.985 4.791
Se 4.468 0.000 1.581
```

- DOS at the Fermi energy (states/eV/atom) = 0.483
- energy relative to the elements, uncorrected (eV/atom) = -1.01
- energy (eV/cell) = -46.32



Q: Which formula does entry 4 have?
A: LiTm2MnSe4



Q: Which of these has the highest DOS at the Fermi energy?
A: Li3U3MnSe8



Q: The highest DOS at the Fermi energy belongs to which entry?
A: Li3U3MnSe8